Entry 1:
Ba2TiBiIr GGA-PBE relaxed; calculated formation energy = 0.53 eV/atom; space group = No. 123; energy = -21.9 eV per formula unit; V = 38.91 Å³/atom
1.0
6.120 0.000 0.000
0.000 6.120 0.000
0.000 0.000 5.195
Ba Ti Bi Ir
2 1 1 1
direct
0.000 0.500 0.000
0.500 0.000 0.000
0.000 0.000 0.500
0.500 0.500 0.500
0.500 0.500 0.000



Entry 2:
KBaBi2 GGA-PBE relaxed; calculated formation energy = -0.31 eV/atom; polymorph energy (0 for the lowest one) = 285 meV per atom; space group = No. 122; energy = -12.0 eV per formula unit; V = 40.46 Å³/atom
1.0
9.681 0.000 0.000
0.000 9.681 0.000
0.000 0.000 6.907
K Ba Bi
4 4 8
direct
0.000 0.000 0.000
0.000 0.500 0.250
0.500 0.000 0.750
0.500 0.500 0.500
0.000 0.000 0.500
0.000 0.500 0.750
0.500 0.000 0.250
0.500 0.500 0.000
0.244 0.250 0.125
0.250 0.744 0.375
0.250 0.756 0.875
0.256 0.250 0.625
0.744 0.750 0.625
0.750 0.244 0.875
0.750 0.256 0.375
0.756 0.750 0.125



Entry 3:
KBaBi2 GGA-PBE relaxed; calculated formation energy = -0.44 eV/atom; polymorph energy (0 for the lowest one) = 146 meV per atom; space group = No. 225; energy = -12.6 eV per formula unit; V = 39.19 Å³/atom
1.0
8.559 0.000 0.000
0.000 8.559 0.000
0.000 0.000 8.559
K Ba Bi
4 4 8
direct
0.000 0.000 0.000
0.000 0.500 0.500
0.500 0.000 0.500
0.500 0.500 0.000
0.000 0.000 0.500
0.000 0.500 0.000
0.500 0.000 0.000
0.500 0.500 0.500
0.250 0.250 0.250
0.250 0.250 0.750
0.250 0.750 0.250
0.250 0.750 0.750
0.750 0.250 0.250
0.750 0.250 0.750
0.750 0.750 0.250
0.750 0.750 0.750



Entry 4:
K2BaBi GGA-PBE relaxed; calculated formation energy = -0.26 eV/atom; space group = No. 122; energy = -9.0 eV per formula unit; V = 48.35 Å³/atom
1.0
5.292 0.000 0.000
0.000 5.292 0.000
0.000 0.000 27.627
K Ba Bi
8 4 4
direct
0.212 0.250 0.125
0.250 0.712 0.375
0.250 0.788 0.875
0.288 0.250 0.625
0.712 0.750 0.625
0.750 0.212 0.875
0.750 0.288 0.375
0.788 0.750 0.125
0.000 0.000 0.500
0.000 0.500 0.750
0.500 0.000 0.250
0.500 0.500 0.000
0.000 0.000 0.000
0.000 0.500 0.250
0.500 0.000 0.750
0.500 0.500 0.500



Entry 5:
K2BaBi2 GGA-PBE relaxed; calculated formation energy = -0.45 eV/atom; polymorph energy (0 for the lowest one) = 0 meV per atom; space group = No. 139; energy = -14.1 eV per formula unit; V = 43.10 Å³/atom
1.0
5.198 0.000 0.000
0.000 5.198 0.000
0.000 0.000 15.954
K Ba Bi
4 2 4
direct
0.000 0.500 0.250
0.000 0.500 0.750
0.500 0.000 0.250
0.500 0.000 0.750
0.000 0.000 0.000
0.500 0.500 0.500
0.000 0.000 0.405
0.000 0.000 0.595
0.500 0.500 0.095
0.500 0.500 0.905



Entry 6:
KBaBi2 GGA-PBE relaxed; calculated formation energy = -0.59 eV/atom; polymorph energy (0 for the lowest one) = 0 meV per atom; space group = No. 62; energy = -13.1 eV per formula unit; V = 44.44 Å³/atom
1.0
8.646 0.000 0.000
0.000 5.166 0.000
0.000 0.000 15.919
K Ba Bi
4 4 8
direct
0.250 0.250 0.024
0.250 0.750 0.524
0.750 0.250 0.476
0.750 0.750 0.976
0.249 0.250 0.281
0.251 0.750 0.781
0.749 0.250 0.219
0.751 0.750 0.719
0.035 0.750 0.157
0.037 0.250 0.657
0.463 0.750 0.157
0.465 0.250 0.657
0.535 0.750 0.343
0.537 0.250 0.843
0.963 0.750 0.343
0.965 0.250 0.843



Entry 7:
KBaBi2 GGA-PBE relaxed; calculated formation energy = -0.51 eV/atom; polymorph energy (0 for the lowest one) = 85 meV per atom; space group = No. 62; energy = -12.8 eV per formula unit; V = 43.73 Å³/atom
1.0
10.369 0.000 0.000
0.000 5.406 0.000
0.000 0.000 12.482
K Ba Bi
4 4 8
direct
0.022 0.250 0.099
0.478 0.750 0.599
0.522 0.250 0.401
0.978 0.750 0.901
0.116 0.750 0.371
0.384 0.250 0.871
0.616 0.750 0.129
0.884 0.250 0.629
0.152 0.750 0.675
0.240 0.250 0.574
0.260 0.750 0.074
0.348 0.250 0.175
0.652 0.750 0.825
0.740 0.250 0.926
0.760 0.750 0.426
0.848 0.250 0.325



Entry 8:
K3Ba4Bi4 GGA-PBE relaxed; calculated formation energy = -0.61 eV/atom; space group = No. 71; energy = -33.2 eV per formula unit; V = 48.85 Å³/atom
1.0
-2.796 4.804 10.002
2.796 -4.804 10.002
2.796 4.804 -10.002
K Ba Bi
3 4 4
direct
0.000 0.000 0.000
0.412 0.912 0.500
0.588 0.088 0.500
0.048 0.334 0.714
0.379 0.666 0.714
0.621 0.334 0.286
0.952 0.666 0.286
0.219 0.219 0.000
0.312 0.500 0.812
0.688 0.500 0.188
0.781 0.781 0.000



Entry 9:
K2BaBi GGA-PBE relaxed; calculated formation energy = -0.39 eV/atom; space group = No. 11; energy = -9.6 eV per formula unit; V = 57.47 Å³/atom
1.0
7.638 0.000 0.000
0.000 5.864 0.000
-0.010 0.000 10.265
K Ba Bi
4 2 2
direct
0.019 0.250 0.204
0.384 0.750 0.089
0.616 0.250 0.911
0.981 0.750 0.796
0.311 0.250 0.573
0.689 0.750 0.427
0.469 0.750 0.731
0.531 0.250 0.269



Entry 10:
K2BaBi2 GGA-PBE relaxed; calculated formation energy = -0.39 eV/atom; polymorph energy (0 for the lowest one) = 62 meV per atom; space group = No. 127; energy = -13.8 eV per formula unit; V = 39.14 Å³/atom
1.0
10.125 0.000 0.000
0.000 10.125 0.000
0.000 0.000 3.818
K Ba Bi
4 2 4
direct
0.112 0.388 0.000
0.388 0.888 0.000
0.612 0.112 0.000
0.888 0.612 0.000
0.000 0.000 0.000
0.500 0.500 0.000
0.187 0.687 0.500
0.313 0.187 0.500
0.687 0.813 0.500
0.813 0.313 0.500



Entry 11:
KBaBi2 GGA-PBE relaxed; calculated formation energy = -0.55 eV/atom; polymorph energy (0 for the lowest one) = 45 meV per atom; space group = No. 123; energy = -13.0 eV per formula unit; V = 37.90 Å³/atom
1.0
3.811 0.000 0.000
0.000 3.811 0.000
0.000 0.000 10.434
K Ba Bi
1 1 2
direct
0.000 0.000 0.000
0.000 0.000 0.500
0.500 0.500 0.253
0.500 0.500 0.747



Entry 12:
K3BaBi GGA-PBE relaxed; calculated formation energy = -0.02 eV/atom; polymorph energy (0 for the lowest one) = 0 meV per atom; space group = No. 221; energy = -9.2 eV per formula unit; V = 65.75 Å³/atom
1.0
6.902 0.000 0.000
0.000 6.902 0.000
0.000 0.000 6.902
K Ba Bi
3 1 1
direct
0.000 0.000 0.500
0.000 0.500 0.000
0.500 0.000 0.000
0.500 0.500 0.500
0.000 0.000 0.000